Entry 1:
Here is crystalline Pm5DyHo3 at its relaxed geometry from Alexandria. Energies are from PBE.

The space group is C2/c (No. 15) and the conventional cell measures 16.436, 6.739 and 11.581 Å, with angles of 90.00, 110.35 and 90.00 degrees. The asymmetric unit holds Pm at (0.000, 0.188, 0.250), Pm at (0.111, 0.003, 0.551), Pm at (0.171, 0.412, 0.345), Dy at (0.000, 0.261, 0.750), Ho at (0.000, 0.500, 0.000) and Ho at (0.239, 0.097, 0.873).

The calculation puts the energy above the most stable polymorph in this dataset at 0 kJ/mol of formula units. The density of states at the Fermi level is 1.3919 states/eV/atom. The total moment is 0.0 μB per formula unit. The formation energy is 0.17 eV/atom. The calculation puts the total energy at -4.503 eV/atom. As for the crystal system: monoclinic.



Entry 2:
Here is crystalline Pm6Dy2Ho at its relaxed geometry from Alexandria. Energies are from PBE.

The space group is Cmmm (No. 65) and the conventional cell measures 9.382, 17.654 and 3.650 Å, with angles of 90.00, 90.00 and 90.00 degrees. The asymmetric unit holds Pm at (0.176, 0.165, 0.000), Pm at (0.184, 0.000, 0.500), Dy at (0.000, 0.322, 0.500) and Ho at (0.000, 0.500, 0.000).

The calculation puts the energy above the most stable polymorph in this dataset at 40 kJ/mol of formula units. The density of states at the Fermi level is 1.3696 states/eV/atom. The total moment is 0.0 μB per formula unit. The formation energy is 0.13 eV/atom. The calculation puts the total energy at -4.568 eV/atom. As for the crystal system: orthorhombic.